VASP calculation (PBE) on a relaxed TaTe2Se crystal.

abc: 3.7831 6.1720 9.0315
angles: 92.02 90.00 90.00
Fractional positions:
1 Ta 0.0379 0.2037 0.7279
2 Ta 0.5263 0.7038 0.7279
3 Te 0.0364 0.8747 0.9309
4 Te 0.0365 0.5328 0.5248
5 Te 0.5277 0.3747 0.9309
6 Te 0.5277 0.0328 0.5248
7 Se 0.2823 0.9535 0.2279
8 Se 0.2823 0.4538 0.2278

## Properties
- ΔE_f (raw) (meV/atom) = -37